# PBE-GGA KYCdSe3, relaxed
data_KYCdSe3
_chemical_formula_sum 'K2 Y2 Cd2 Se6'
_cell_length_a 9.2033
_cell_length_b 9.2033
_cell_length_c 9.2532
_cell_angle_alpha 103.46
_cell_angle_beta 103.46
_cell_angle_gamma 26.40
_symmetry_space_group_name_H-M 'P 1'
_symmetry_Int_Tables_number 1
loop_
_symmetry_equiv_pos_as_xyz
'x,y,z'
loop_
_atom_site_label
_atom_site_type_symbol
_atom_site_fract_x
_atom_site_fract_y
_atom_site_fract_z
K1 K 0.1422 0.1422 0.0680
K2 K 0.8578 0.8578 0.9320
Y1 Y 0.1727 0.1727 0.5862
Y2 Y 0.8273 0.8273 0.4138
Cd1 Cd 0.4900 0.4900 0.2802
Cd2 Cd 0.5100 0.5100 0.7198
Se1 Se 0.0000 0.0000 0.5000
Se2 Se 0.3321 0.3321 0.2094
Se3 Se 0.3357 0.3357 0.6321
Se4 Se 0.5000 0.5000 0.0000
Se5 Se 0.6643 0.6643 0.3679
Se6 Se 0.6679 0.6679 0.7906
# Calculated total energy   -0.3263 Ry/atom

---

# PBE-GGA KYCdSe3, relaxed
data_KYCdSe3
_chemical_formula_sum 'K2 Y2 Cd2 Se6'
_cell_length_a 8.6140
_cell_length_b 4.2349
_cell_length_c 10.5172
_cell_angle_alpha 90.00
_cell_angle_beta 108.30
_cell_angle_gamma 90.00
_symmetry_space_group_name_H-M 'P 1'
_symmetry_Int_Tables_number 1
loop_
_symmetry_equiv_pos_as_xyz
'x,y,z'
loop_
_atom_site_label
_atom_site_type_symbol
_atom_site_fract_x
_atom_site_fract_y
_atom_site_fract_z
K1 K 0.2450 0.2500 0.2633
K2 K 0.7550 0.7500 0.7367
Y1 Y 0.3191 0.7500 0.8682
Y2 Y 0.6809 0.2500 0.1318
Cd1 Cd 0.0824 0.2500 0.6118
Cd2 Cd 0.9176 0.7500 0.3882
Se1 Se 0.0846 0.2500 0.8607
Se2 Se 0.2425 0.7500 0.5554
Se3 Se 0.4608 0.7500 0.1470
Se4 Se 0.5392 0.2500 0.8530
Se5 Se 0.7575 0.2500 0.4446
Se6 Se 0.9154 0.7500 0.1393
# Calculated total energy   -0.3299 Ry/atom

---

# PBE-GGA KSm2Cd3, relaxed
data_KSm2Cd3
_chemical_formula_sum 'K1 Sm2 Cd3'
_cell_length_a 4.5078
_cell_length_b 4.5078
_cell_length_c 8.8784
_cell_angle_alpha 90.00
_cell_angle_beta 90.00
_cell_angle_gamma 90.00
_symmetry_space_group_name_H-M 'P 1'
_symmetry_Int_Tables_number 1
loop_
_symmetry_equiv_pos_as_xyz
'x,y,z'
loop_
_atom_site_label
_atom_site_type_symbol
_atom_site_fract_x
_atom_site_fract_y
_atom_site_fract_z
K1 K 0.0000 0.0000 0.0000
Sm1 Sm 0.0000 0.5000 0.6276
Sm2 Sm 0.5000 0.0000 0.3724
Cd1 Cd 0.0000 0.5000 0.2716
Cd2 Cd 0.5000 0.0000 0.7284
Cd3 Cd 0.5000 0.5000 0.0000
# Calculated total energy   -0.1603 Ry/atom

---

# PBE-GGA KSmCd, relaxed
data_KSmCd
_chemical_formula_sum 'K1 Sm1 Cd1'
_cell_length_a 5.4229
_cell_length_b 5.4229
_cell_length_c 5.4229
_cell_angle_alpha 60.00
_cell_angle_beta 60.00
_cell_angle_gamma 60.00
_symmetry_space_group_name_H-M 'P 1'
_symmetry_Int_Tables_number 1
loop_
_symmetry_equiv_pos_as_xyz
'x,y,z'
loop_
_atom_site_label
_atom_site_type_symbol
_atom_site_fract_x
_atom_site_fract_y
_atom_site_fract_z
K1 K 0.0000 0.0000 0.0000
Sm1 Sm 0.7500 0.7500 0.7500
Cd1 Cd 0.5000 0.5000 0.5000
# Calculated total energy   -0.1188 Ry/atom

---

# PBE-GGA KSmCdTe3, relaxed
data_KSmCdTe3
_chemical_formula_sum 'K2 Sm2 Cd2 Te6'
_cell_length_a 9.2446
_cell_length_b 4.5520
_cell_length_c 11.0210
_cell_angle_alpha 90.00
_cell_angle_beta 107.27
_cell_angle_gamma 90.00
_symmetry_space_group_name_H-M 'P 1'
_symmetry_Int_Tables_number 1
loop_
_symmetry_equiv_pos_as_xyz
'x,y,z'
loop_
_atom_site_label
_atom_site_type_symbol
_atom_site_fract_x
_atom_site_fract_y
_atom_site_fract_z
K1 K 0.2363 0.2500 0.2670
K2 K 0.7637 0.7500 0.7330
Sm1 Sm 0.3167 0.7500 0.8652
Sm2 Sm 0.6833 0.2500 0.1348
Cd1 Cd 0.0814 0.2500 0.6106
Cd2 Cd 0.9186 0.7500 0.3893
Te1 Te 0.0768 0.2500 0.8641
Te2 Te 0.2408 0.7500 0.5494
Te3 Te 0.4576 0.7500 0.1560
Te4 Te 0.5424 0.2500 0.8440
Te5 Te 0.7592 0.2500 0.4506
Te6 Te 0.9232 0.7500 0.1359
# Calculated total energy   -0.2757 Ry/atom

---

# PBE-GGA KSmCdTe3, relaxed
data_KSmCdTe3
_chemical_formula_sum 'K2 Sm2 Cd2 Te6'
_cell_length_a 10.0687
_cell_length_b 10.0687
_cell_length_c 9.7757
_cell_angle_alpha 103.76
_cell_angle_beta 103.76
_cell_angle_gamma 26.10
_symmetry_space_group_name_H-M 'P 1'
_symmetry_Int_Tables_number 1
loop_
_symmetry_equiv_pos_as_xyz
'x,y,z'
loop_
_atom_site_label
_atom_site_type_symbol
_atom_site_fract_x
_atom_site_fract_y
_atom_site_fract_z
K1 K 0.1383 0.1383 0.0695
K2 K 0.8617 0.8617 0.9305
Sm1 Sm 0.1766 0.1766 0.5906
Sm2 Sm 0.8234 0.8234 0.4094
Cd1 Cd 0.4805 0.4805 0.2804
Cd2 Cd 0.5195 0.5195 0.7196
Te1 Te 0.0000 0.0000 0.5000
Te2 Te 0.3272 0.3272 0.1912
Te3 Te 0.3382 0.3382 0.6366
Te4 Te 0.5000 0.5000 0.0000
Te5 Te 0.6618 0.6618 0.3634
Te6 Te 0.6728 0.6728 0.8088
# Calculated total energy   -0.2694 Ry/atom

---

# PBE-GGA KCdSn, relaxed
data_KCdSn
_chemical_formula_sum 'K1 Cd1 Sn1'
_cell_length_a 5.9033
_cell_length_b 5.9033
_cell_length_c 3.1613
_cell_angle_alpha 90.00
_cell_angle_beta 90.00
_cell_angle_gamma 120.00
_symmetry_space_group_name_H-M 'P 1'
_symmetry_Int_Tables_number 1
loop_
_symmetry_equiv_pos_as_xyz
'x,y,z'
loop_
_atom_site_label
_atom_site_type_symbol
_atom_site_fract_x
_atom_site_fract_y
_atom_site_fract_z
K1 K 0.0000 0.0000 0.0000
Cd1 Cd 0.6667 0.3333 0.0000
Sn1 Sn 0.3333 0.6667 0.0000
# Polymorph energy (0 for the lowest one)   0.303 eV per atom
# Calculated total energy   -0.1398 Ry/atom

---

# PBE-GGA KCdSn, relaxed
data_KCdSn
_chemical_formula_sum 'K2 Cd2 Sn2'
_cell_length_a 6.5043
_cell_length_b 6.5043
_cell_length_c 5.1964
_cell_angle_alpha 113.44
_cell_angle_beta 113.44
_cell_angle_gamma 86.90
_symmetry_space_group_name_H-M 'P 1'
_symmetry_Int_Tables_number 1
loop_
_symmetry_equiv_pos_as_xyz
'x,y,z'
loop_
_atom_site_label
_atom_site_type_symbol
_atom_site_fract_x
_atom_site_fract_y
_atom_site_fract_z
K1 K 0.0000 0.0000 0.0000
K2 K 0.5735 0.4265 0.5000
Cd1 Cd 0.4148 0.0168 0.7158
Cd2 Cd 0.9832 0.5852 0.2842
Sn1 Sn 0.1732 0.4355 0.8042
Sn2 Sn 0.5645 0.8268 0.1958
# Polymorph energy (0 for the lowest one)   0.000 eV per atom
# Calculated total energy   -0.1620 Ry/atom

---

# PBE-GGA KCdSn, relaxed
data_KCdSn
_chemical_formula_sum 'K1 Cd1 Sn1'
_cell_length_a 5.4480
_cell_length_b 5.4480
_cell_length_c 5.4480
_cell_angle_alpha 60.00
_cell_angle_beta 60.00
_cell_angle_gamma 60.00
_symmetry_space_group_name_H-M 'P 1'
_symmetry_Int_Tables_number 1
loop_
_symmetry_equiv_pos_as_xyz
'x,y,z'
loop_
_atom_site_label
_atom_site_type_symbol
_atom_site_fract_x
_atom_site_fract_y
_atom_site_fract_z
K1 K 0.0000 0.0000 0.0000
Cd1 Cd 0.7500 0.7500 0.7500
Sn1 Sn 0.2500 0.2500 0.2500
# Polymorph energy (0 for the lowest one)   0.674 eV per atom
# Calculated total energy   -0.1125 Ry/atom

---

# PBE-GGA KCdSn, relaxed
data_KCdSn
_chemical_formula_sum 'K1 Cd1 Sn1'
_cell_length_a 5.2375
_cell_length_b 5.2375
_cell_length_c 5.2375
_cell_angle_alpha 60.00
_cell_angle_beta 60.00
_cell_angle_gamma 60.00
_symmetry_space_group_name_H-M 'P 1'
_symmetry_Int_Tables_number 1
loop_
_symmetry_equiv_pos_as_xyz
'x,y,z'
loop_
_atom_site_label
_atom_site_type_symbol
_atom_site_fract_x
_atom_site_fract_y
_atom_site_fract_z
K1 K 0.0000 0.0000 0.0000
Cd1 Cd 0.2500 0.2500 0.2500
Sn1 Sn 0.5000 0.5000 0.5000
# Polymorph energy (0 for the lowest one)   0.235 eV per atom
# Calculated total energy   -0.1448 Ry/atom

---

# PBE-GGA K2Cd5Sn3, relaxed
data_K2Cd5Sn3
_chemical_formula_sum 'K2 Cd5 Sn3'
_cell_length_a 12.4509
_cell_length_b 12.4509
_cell_length_c 12.4509
_cell_angle_alpha 157.03
_cell_angle_beta 157.03
_cell_angle_gamma 32.70
_symmetry_space_group_name_H-M 'P 1'
_symmetry_Int_Tables_number 1
loop_
_symmetry_equiv_pos_as_xyz
'x,y,z'
loop_
_atom_site_label
_atom_site_type_symbol
_atom_site_fract_x
_atom_site_fract_y
_atom_site_fract_z
K1 K 0.1940 0.1940 0.0000
K2 K 0.8060 0.8060 0.0000
Cd1 Cd 0.0807 0.5807 0.5000
Cd2 Cd 0.4193 0.9193 0.5000
Cd3 Cd 0.5000 0.5000 0.0000
Cd4 Cd 0.5807 0.0807 0.5000
Cd5 Cd 0.9193 0.4193 0.5000
Sn1 Sn 0.0000 0.0000 0.0000
Sn2 Sn 0.3499 0.3499 0.0000
Sn3 Sn 0.6501 0.6501 0.0000
# Calculated total energy   -0.1442 Ry/atom

---

# PBE-GGA K2CdSnTe4, relaxed
data_K2CdSnTe4
_chemical_formula_sum 'K2 Cd1 Sn1 Te4'
_cell_length_a 7.5617
_cell_length_b 7.5617
_cell_length_c 8.2550
_cell_angle_alpha 123.01
_cell_angle_beta 123.01
_cell_angle_gamma 79.06
_symmetry_space_group_name_H-M 'P 1'
_symmetry_Int_Tables_number 1
loop_
_symmetry_equiv_pos_as_xyz
'x,y,z'
loop_
_atom_site_label
_atom_site_type_symbol
_atom_site_fract_x
_atom_site_fract_y
_atom_site_fract_z
K1 K 0.0000 0.0000 0.0000
K2 K 0.7507 0.2493 0.5000
Cd1 Cd 0.2497 0.7503 0.5000
Sn1 Sn 0.4995 0.5005 0.0000
Te1 Te 0.1785 0.4633 0.0555
Te2 Te 0.4062 0.1248 0.5864
Te3 Te 0.5367 0.8215 0.9445
Te4 Te 0.8752 0.5938 0.4136
# Calculated total energy   -0.2259 Ry/atom

---

Please write out number 2 again, unchanged.
# PBE-GGA KYCdSe3, relaxed
data_KYCdSe3
_chemical_formula_sum 'K2 Y2 Cd2 Se6'
_cell_length_a 8.6140
_cell_length_b 4.2349
_cell_length_c 10.5172
_cell_angle_alpha 90.00
_cell_angle_beta 108.30
_cell_angle_gamma 90.00
_symmetry_space_group_name_H-M 'P 1'
_symmetry_Int_Tables_number 1
loop_
_symmetry_equiv_pos_as_xyz
'x,y,z'
loop_
_atom_site_label
_atom_site_type_symbol
_atom_site_fract_x
_atom_site_fract_y
_atom_site_fract_z
K1 K 0.2450 0.2500 0.2633
K2 K 0.7550 0.7500 0.7367
Y1 Y 0.3191 0.7500 0.8682
Y2 Y 0.6809 0.2500 0.1318
Cd1 Cd 0.0824 0.2500 0.6118
Cd2 Cd 0.9176 0.7500 0.3882
Se1 Se 0.0846 0.2500 0.8607
Se2 Se 0.2425 0.7500 0.5554
Se3 Se 0.4608 0.7500 0.1470
Se4 Se 0.5392 0.2500 0.8530
Se5 Se 0.7575 0.2500 0.4446
Se6 Se 0.9154 0.7500 0.1393
# Calculated total energy   -0.3299 Ry/atom